# 1
Density functional theory data (GGA-PBE) for a relaxed structure of Na2GeAsO4.

abc: 5.250 5.250 5.250
angles: 110.87 110.87 106.70
Fractional coordinates of all 8 atoms:
Na (0.000, 0.000, 0.000)
Na (0.750, 0.250, 0.500)
Ge (0.500, 0.500, 0.000)
As (0.250, 0.750, 0.500)
O (0.170, 0.142, 0.666)
O (0.477, 0.504, 0.334)
O (0.496, 0.830, 0.973)
O (0.858, 0.523, 0.027)

Computed properties:
The crystal system is tetragonal.

---

# 2
Density functional theory data (GGA-PBE) for a relaxed structure of NaGeAs2O6.

abc: 6.721 6.721 6.721
angles: 45.47 45.47 45.47
Fractional coordinates of all 10 atoms:
Na (0.000, 0.000, 0.000)
Ge (0.449, 0.449, 0.449)
As (0.222, 0.222, 0.222)
As (0.769, 0.769, 0.769)
O (0.059, 0.462, 0.645)
O (0.222, 0.840, 0.473)
O (0.462, 0.645, 0.059)
O (0.473, 0.222, 0.840)
O (0.645, 0.059, 0.462)
O (0.840, 0.473, 0.222)

Computed properties:
The calculation puts the density of states at the Fermi level at 0.54 states/eV per cell. The crystal system is trigonal.

---

Number 1: uncorrected formation energy -1.354 eV per atom. Number 2: uncorrected formation energy -1.327 eV per atom.